# TlSn2Au2

A relaxed TlSn2Au2 crystal (GGA-PBEsol, Alexandria).

Electronic total energy, eV per atom: -3.848
Energy of formation from the pure elements, eV/atom: -0.049

a b c (Å): 3.2448 8.3693 8.3693
angles (deg): 90.00 90.00 90.00
Element x y z (fractional)
Tl 0.0000 0.0000 0.0000
Tl 0.0000 0.5000 0.5000
Au 0.0000 0.3469 0.8469
Au 0.0000 0.8469 0.6531
Au 0.0000 0.6531 0.1531
Au 0.0000 0.1531 0.3469
Sn 0.5000 0.1434 0.6434
Sn 0.5000 0.6434 0.8566
Sn 0.5000 0.8566 0.3566
Sn 0.5000 0.3566 0.1434

***

# Tm2SnAu2

A relaxed Tm2SnAu2 crystal (GGA-PBEsol, Alexandria).

Electronic total energy, eV per atom: -5.272
Energy of formation from the pure elements, eV/atom: -0.891

a b c (Å): 3.6876 7.6953 7.6953
angles (deg): 90.00 90.00 90.00
Element x y z (fractional)
Tm 0.5000 0.8308 0.6692
Tm 0.5000 0.3308 0.8308
Tm 0.5000 0.1692 0.3308
Tm 0.5000 0.6692 0.1692
Au 0.0000 0.1285 0.6285
Au 0.0000 0.6285 0.8715
Au 0.0000 0.3715 0.1285
Au 0.0000 0.8715 0.3715
Sn 0.0000 0.5000 0.5000
Sn 0.0000 0.0000 0.0000

***

# Tm2SnAu2

A relaxed Tm2SnAu2 crystal (GGA-PBEsol, Alexandria).

Electronic total energy, eV per atom: -5.278
Energy of formation from the pure elements, eV/atom: -0.897

a b c (Å): 7.2790 7.7159 7.7159
angles (deg): 90.00 90.00 90.00
Element x y z (fractional)
Tm 0.5000 0.6862 0.3138
Tm 0.5000 0.3138 0.6862
Tm 0.0000 0.1862 0.1862
Tm 0.0000 0.8138 0.8138
Tm 0.5000 0.8457 0.8457
Tm 0.5000 0.1543 0.1543
Tm 0.0000 0.3457 0.6543
Tm 0.0000 0.6543 0.3457
Sn 0.2500 0.5000 0.0000
Sn 0.7500 0.0000 0.5000
Sn 0.7500 0.5000 0.0000
Sn 0.2500 0.0000 0.5000
Au 0.2169 0.8718 0.1282
Au 0.2169 0.1282 0.8718
Au 0.7169 0.3718 0.3718
Au 0.7169 0.6282 0.6282
Au 0.7831 0.1282 0.8718
Au 0.7831 0.8718 0.1282
Au 0.2831 0.6282 0.6282
Au 0.2831 0.3718 0.3718